First-principles (GGA-PBE) data for a relaxed CrRe3 crystal, as listed in the Alexandria database.

Calculated values
M_tot: 0.00 μB/f.u.
DFT formation energy: 0.515 eV/f.u.

```
CrRe3
1.0
2.743 0.000 0.000
0.000 3.837 0.000
0.000 0.000 5.454
Cr Re
1 3
Direct
0.000 0.000 0.000
0.000 0.000 0.500
0.500 0.500 0.241
0.500 0.500 0.759
```



First-principles (GGA-PBE) data for a relaxed SrLi4As2 crystal, as listed in the Alexandria database.

Calculated values
M_tot: 0.00 μB/f.u.
DFT formation energy: -5.793 eV/f.u.

```
SrLi4As2
1.0
7.941 0.000 0.000
0.000 7.941 0.000
0.000 0.000 4.370
Sr Li As
2 8 4
Direct
0.000 0.000 0.000
0.500 0.500 0.500
0.097 0.332 0.500
0.168 0.597 0.000
0.332 0.097 0.500
0.403 0.832 0.000
0.597 0.168 0.000
0.668 0.903 0.500
0.832 0.403 0.000
0.903 0.668 0.500
0.217 0.783 0.500
0.283 0.283 0.000
0.717 0.717 0.000
0.783 0.217 0.500
```



First-principles (GGA-PBE) data for a relaxed SmSi3Pt5 crystal, as listed in the Alexandria database.

Calculated values
formation energy without anion corrections: -89.2 kJ/mol of atoms
relative energy among the computed polymorphs: 0.0 kJ per mole of atoms
M_tot: 0.00 μB/f.u.

```
SmSi3Pt5
1.0
16.025 0.000 0.000
-8.012 13.878 0.000
0.000 0.000 4.003
Sm Si Pt
6 18 30
Direct
0.097 0.706 0.250
0.294 0.391 0.250
0.391 0.097 0.750
0.609 0.903 0.250
0.706 0.609 0.750
0.903 0.294 0.750
0.061 0.434 0.250
0.117 0.868 0.750
0.132 0.249 0.750
0.233 0.682 0.750
0.249 0.117 0.250
0.318 0.551 0.750
0.373 0.939 0.250
0.434 0.373 0.750
0.449 0.767 0.750
0.551 0.233 0.250
0.566 0.627 0.250
0.627 0.061 0.750
0.682 0.449 0.250
0.751 0.883 0.750
0.767 0.318 0.250
0.868 0.751 0.250
0.883 0.132 0.250
0.939 0.566 0.750
0.031 0.884 0.250
0.041 0.276 0.250
0.076 0.542 0.750
0.116 0.147 0.250
0.147 0.031 0.750
0.156 0.412 0.750
0.229 0.565 0.250
0.235 0.959 0.250
0.255 0.844 0.750
0.276 0.235 0.750
0.336 0.771 0.250
0.412 0.255 0.250
0.435 0.664 0.250
0.458 0.534 0.750
0.466 0.924 0.750
0.534 0.076 0.250
0.542 0.466 0.250
0.565 0.336 0.750
0.588 0.745 0.750
0.664 0.229 0.750
0.724 0.765 0.250
0.745 0.156 0.250
0.765 0.041 0.750
0.771 0.435 0.750
0.844 0.588 0.250
0.853 0.969 0.250
0.884 0.853 0.750
0.924 0.458 0.250
0.959 0.724 0.750
0.969 0.116 0.750
```



First-principles (GGA-PBE) data for a relaxed Mn2Os2I crystal, as listed in the Alexandria database.

Calculated values
formation energy without anion corrections: 65.8 kJ/mol of atoms
relative energy among the computed polymorphs: 0.0 kJ per mole of atoms
M_tot: 5.59 μB/f.u.

```
Mn2Os2I
1.0
3.715 0.000 0.000
0.000 3.715 0.000
0.000 0.000 14.221
Mn Os I
4 4 2
Direct
0.000 0.000 0.130
0.000 0.000 0.870
0.500 0.500 0.370
0.500 0.500 0.630
0.000 0.500 0.250
0.000 0.500 0.750
0.500 0.000 0.250
0.500 0.000 0.750
0.000 0.000 0.500
0.500 0.500 0.000
```



First-principles (GGA-PBE) data for a relaxed CrAg2Pt crystal, as listed in the Alexandria database.

Calculated values
relative energy among the computed polymorphs: 25.5 kJ per mole of atoms
M_tot: 3.91 μB/f.u.
DFT formation energy: 1.431 eV/f.u.

```
CrAg2Pt
1.0
2.921 0.000 0.000
0.000 4.791 0.000
0.000 0.000 9.605
Cr Ag Pt
2 4 2
Direct
0.000 0.000 0.000
0.500 0.500 0.000
0.000 0.500 0.245
0.000 0.500 0.755
0.500 0.000 0.245
0.500 0.000 0.755
0.000 0.000 0.500
0.500 0.500 0.500
```



First-principles (GGA-PBE) data for a relaxed RbTlSe2O8 crystal, as listed in the Alexandria database.

Calculated values
formation energy without anion corrections: -84.0 kJ/mol of atoms
M_tot: 0.00 μB/f.u.

```
RbTlSe2O8
1.0
2.620 1.513 8.888
-2.620 1.513 8.888
0.000 -3.026 8.888
Rb Tl Se O
1 1 2 8
Direct
0.000 0.000 0.000
0.500 0.500 0.500
0.239 0.239 0.239
0.761 0.761 0.761
0.088 0.780 0.477
0.220 0.523 0.912
0.301 0.301 0.301
0.477 0.088 0.780
0.523 0.912 0.220
0.699 0.699 0.699
0.780 0.477 0.088
0.912 0.220 0.523
```



Number 1: DOS at the Fermi energy 0.857 states/eV per atom. Number 2: DOS at the Fermi energy 0.009 states/eV per atom. Number 3: DOS at the Fermi energy 0.455 states/eV per atom. Number 4: DOS at the Fermi energy 0.738 states/eV per atom. Number 5: DOS at the Fermi energy 0.568 states/eV per atom. Number 6: DOS at the Fermi energy 0.000 states/eV per atom.